(1)
DFT (PBE) results for a relaxed InNi3 crystal. Values from VASP.

```
&SYSTEM
  ibrav = 0, nat = 4, ntyp = 2
/
ATOMIC_SPECIES
In 114.82 In.upf
Ni 58.69 Ni.upf
ATOMIC_POSITIONS angstrom
In 0.0000 0.0000 0.0000
Ni 1.8924 0.0000 1.8150
Ni 0.0000 0.0000 3.6301
Ni 0.0000 1.8924 1.8150
CELL_PARAMETERS angstrom
-1.8924 1.8924 3.6301
1.8924 -1.8924 3.6301
1.8924 1.8924 -3.6301
```

Magnetization   0.012 μB/atom
E   -19.69 eV per cell



(2)
DFT (PBE) results for a relaxed InNi124 crystal. Values from VASP.

```
&SYSTEM
  ibrav = 0, nat = 125, ntyp = 2
/
ATOMIC_SPECIES
In 114.82 In.upf
Ni 58.69 Ni.upf
ATOMIC_POSITIONS angstrom
In 0.0000 0.0000 0.0000
Ni 1.8102 1.8102 0.0000
Ni 3.5194 3.5194 0.0000
Ni 5.2383 5.2383 0.0000
Ni 6.9475 6.9475 0.0000
Ni 5.2561 3.5016 1.7546
Ni 3.5140 1.7588 1.7588
Ni 6.9990 5.2437 1.7588
Ni 1.8102 0.0000 1.8102
Ni 8.7577 6.9475 1.8102
Ni 5.2561 1.7546 3.5016
Ni 7.0032 3.5016 3.5016
Ni 10.5165 15.7567 12.2717
Ni 3.5194 0.0000 3.5194
Ni 8.7577 5.2383 3.5194
Ni 5.2383 0.0000 5.2383
Ni 8.7577 3.5194 5.2383
Ni 6.9990 1.7588 5.2437
Ni 10.5123 5.2561 5.2561
Ni 12.2593 7.0032 5.2561
Ni 6.9475 0.0000 6.9475
Ni 8.7577 1.8102 6.9475
Ni 10.5165 12.2717 15.7567
Ni 14.0015 15.7567 15.7567
Ni 12.2593 5.2561 7.0032
Ni 3.5016 5.2561 1.7546
Ni 3.5050 3.5050 3.5050
Ni 5.2527 5.2527 3.5050
Ni 8.7577 8.7577 3.5034
Ni 3.5016 1.7546 5.2561
Ni 5.2527 3.5050 5.2527
Ni 7.0032 5.2561 5.2561
Ni 8.7577 7.0058 5.2549
Ni 10.5097 8.7577 5.2549
Ni 8.7577 5.2549 7.0058
Ni 10.5085 7.0070 7.0070
Ni 12.2606 8.7577 7.0058
Ni 8.7577 3.5034 8.7577
Ni 10.5097 5.2549 8.7577
Ni 12.2606 7.0058 8.7577
Ni 14.0120 8.7577 8.7577
Ni 1.7588 3.5140 1.7588
Ni 5.2437 6.9990 1.7588
Ni 1.7588 1.7588 3.5140
Ni 6.9990 6.9990 3.5140
Ni 5.2437 1.7588 6.9990
Ni 6.9990 3.5140 6.9990
Ni 0.0000 1.8102 1.8102
Ni 6.9475 8.7577 1.8102
Ni 6.9475 1.8102 8.7577
Ni 1.7546 5.2561 3.5016
Ni 3.5016 7.0032 3.5016
Ni 1.7546 3.5016 5.2561
Ni 3.5050 5.2527 5.2527
Ni 5.2561 7.0032 5.2561
Ni 7.0058 8.7577 5.2549
Ni 8.7577 10.5097 5.2549
Ni 3.5016 3.5016 7.0032
Ni 5.2561 5.2561 7.0032
Ni 7.0070 7.0070 7.0070
Ni 8.7577 8.7577 7.0063
Ni 10.5085 10.5085 7.0070
Ni 7.0058 5.2549 8.7577
Ni 8.7577 7.0063 8.7577
Ni 10.5092 8.7577 8.7577
Ni 12.2606 10.5097 8.7577
Ni 8.7577 5.2549 10.5097
Ni 10.5085 7.0070 10.5085
Ni 12.2606 8.7577 10.5097
Ni 15.7567 10.5165 12.2717
Ni 15.7567 12.2717 10.5165
Ni 14.0015 10.5165 10.5165
Ni 0.0000 3.5194 3.5194
Ni 5.2383 8.7577 3.5194
Ni 5.2383 3.5194 8.7577
Ni 0.0000 5.2383 5.2383
Ni 3.5194 8.7577 5.2383
Ni 3.5194 5.2383 8.7577
Ni 1.7588 6.9990 5.2437
Ni 1.7588 5.2437 6.9990
Ni 3.5140 6.9990 6.9990
Ni 5.2561 10.5123 5.2561
Ni 7.0032 12.2593 5.2561
Ni 5.2549 8.7577 7.0058
Ni 7.0070 10.5085 7.0070
Ni 8.7577 12.2606 7.0058
Ni 5.2549 7.0058 8.7577
Ni 7.0063 8.7577 8.7577
Ni 8.7577 10.5092 8.7577
Ni 10.5097 12.2606 8.7577
Ni 5.2561 5.2561 10.5123
Ni 7.0070 7.0070 10.5085
Ni 8.7577 8.7577 10.5092
Ni 10.5085 10.5085 10.5085
Ni 12.2593 12.2593 10.5123
Ni 7.0032 5.2561 12.2593
Ni 8.7577 7.0058 12.2606
Ni 10.5097 8.7577 12.2606
Ni 12.2593 10.5123 12.2593
Ni 14.0105 12.2628 12.2628
Ni 0.0000 6.9475 6.9475
Ni 1.8102 8.7577 6.9475
Ni 1.8102 6.9475 8.7577
Ni 12.2717 10.5165 15.7567
Ni 15.7567 14.0015 15.7567
Ni 12.2717 15.7567 10.5165
Ni 10.5165 14.0015 10.5165
Ni 15.7567 15.7567 14.0015
Ni 10.5165 10.5165 14.0015
Ni 5.2561 12.2593 7.0032
Ni 3.5034 8.7577 8.7577
Ni 5.2549 10.5097 8.7577
Ni 7.0058 12.2606 8.7577
Ni 8.7577 14.0120 8.7577
Ni 5.2549 8.7577 10.5097
Ni 7.0070 10.5085 10.5085
Ni 8.7577 12.2606 10.5097
Ni 5.2561 7.0032 12.2593
Ni 7.0058 8.7577 12.2606
Ni 8.7577 10.5097 12.2606
Ni 10.5123 12.2593 12.2593
Ni 12.2628 14.0105 12.2628
Ni 8.7577 8.7577 14.0120
Ni 12.2628 12.2628 14.0105
Ni 14.0105 14.0105 14.0105
CELL_PARAMETERS angstrom
0.0000 8.7577 8.7577
8.7577 0.0000 8.7577
8.7577 8.7577 0.0000
```

Magnetization   0.597 μB/atom
E   -692.72 eV per cell



(3)
DFT (PBE) results for a relaxed InNi2 crystal. Values from VASP.

```
&SYSTEM
  ibrav = 0, nat = 9, ntyp = 2
/
ATOMIC_SPECIES
In 114.82 In.upf
Ni 58.69 Ni.upf
ATOMIC_POSITIONS angstrom
In 0.0000 0.0000 0.0000
In 6.4760 0.0000 2.7067
In 9.1053 0.0000 0.8522
Ni 1.8000 0.0000 1.9157
Ni 1.2222 0.0000 4.2313
Ni 4.5565 0.0000 0.7628
Ni 3.8678 0.0000 3.2605
Ni 8.9053 0.0000 3.5084
Ni 11.2542 0.0000 2.3582
CELL_PARAMETERS angstrom
6.2404 -2.0732 0.0000
6.2404 2.0732 0.0000
-1.3696 0.0000 4.9687
```

Magnetization   0.001 μB/atom
E   -42.46 eV per cell



(4)
DFT (PBE) results for a relaxed InNi10 crystal. Values from VASP.

```
&SYSTEM
  ibrav = 0, nat = 22, ntyp = 2
/
ATOMIC_SPECIES
In 114.82 In.upf
Ni 58.69 Ni.upf
ATOMIC_POSITIONS angstrom
In 1.2073 0.0000 8.6094
In 6.5171 0.0000 20.3846
Ni 0.3654 0.0000 2.7303
Ni 0.3632 0.0000 23.9154
Ni 1.0933 0.0000 21.5590
Ni 1.1621 0.0000 0.3878
Ni 1.9304 0.0000 5.8801
Ni 1.9182 0.0000 27.0381
Ni 2.6985 0.0000 3.5136
Ni 2.6949 0.0000 24.6909
Ni 3.4832 0.0000 1.1700
Ni 3.4636 0.0000 22.3248
Ni 4.2608 0.0000 6.6692
Ni 4.2412 0.0000 27.8240
Ni 5.0295 0.0000 4.3031
Ni 5.0259 0.0000 25.4804
Ni 5.8062 0.0000 1.9559
Ni 5.7940 0.0000 23.1139
Ni 6.5622 0.0000 28.6062
Ni 6.6311 0.0000 7.4350
Ni 7.3612 0.0000 5.0786
Ni 7.3589 0.0000 26.2637
CELL_PARAMETERS angstrom
3.8856 -1.7424 0.0000
3.8856 1.7424 0.0000
-0.0467 0.0000 28.9940
```

Magnetization   0.350 μB/atom
E   -115.34 eV per cell
Energy relative to the lowest polymorph listed for this composition   14 meV per atom



(5)
DFT (PBE) results for a relaxed In2Ni crystal. Values from VASP.

```
&SYSTEM
  ibrav = 0, nat = 6, ntyp = 2
/
ATOMIC_SPECIES
In 114.82 In.upf
Ni 58.69 Ni.upf
ATOMIC_POSITIONS angstrom
In 0.0000 0.0000 0.0000
In 2.7938 2.7938 0.0000
In 2.7938 0.0000 2.7938
In 0.0000 2.7938 2.7938
Ni 1.3969 1.3969 1.3969
Ni 9.7782 9.7782 9.7782
CELL_PARAMETERS angstrom
0.0000 5.5876 5.5876
5.5876 0.0000 5.5876
5.5876 5.5876 0.0000
```

Magnetization   0.000 μB/atom
E   -18.83 eV per cell



(6)
DFT (PBE) results for a relaxed In2Ni7 crystal. Values from VASP.

```
&SYSTEM
  ibrav = 0, nat = 9, ntyp = 2
/
ATOMIC_SPECIES
In 114.82 In.upf
Ni 58.69 Ni.upf
ATOMIC_POSITIONS angstrom
In 0.0000 1.5729 4.3941
In 1.3621 0.7864 20.3127
Ni 0.0000 0.0000 6.6804
Ni 0.0000 0.0000 12.3534
Ni 0.0000 0.0000 18.0264
Ni 0.0000 1.5729 10.4500
Ni 0.0000 1.5729 16.1419
Ni 1.3621 0.7864 8.5649
Ni 1.3621 0.7864 14.2568
CELL_PARAMETERS angstrom
2.7243 0.0000 0.0000
-1.3621 2.3593 0.0000
0.0000 0.0000 24.7068
```

Magnetization   0.419 μB/atom
E   -41.49 eV per cell



What is the E in the third record?
-42.46 eV per cell



What did the sixth record say?
DFT (PBE) results for a relaxed In2Ni7 crystal. Values from VASP.

```
&SYSTEM
  ibrav = 0, nat = 9, ntyp = 2
/
ATOMIC_SPECIES
In 114.82 In.upf
Ni 58.69 Ni.upf
ATOMIC_POSITIONS angstrom
In 0.0000 1.5729 4.3941
In 1.3621 0.7864 20.3127
Ni 0.0000 0.0000 6.6804
Ni 0.0000 0.0000 12.3534
Ni 0.0000 0.0000 18.0264
Ni 0.0000 1.5729 10.4500
Ni 0.0000 1.5729 16.1419
Ni 1.3621 0.7864 8.5649
Ni 1.3621 0.7864 14.2568
CELL_PARAMETERS angstrom
2.7243 0.0000 0.0000
-1.3621 2.3593 0.0000
0.0000 0.0000 24.7068
```

Magnetization   0.419 μB/atom
E   -41.49 eV per cell



Number 1 is which compound?
InNi3



Among the records above, which one has the highest magnetization?
InNi124